# 1
## AcTlIn6 (PBE-GGA)

Data for a relaxed AcTlIn6 crystal.

The structure belongs to space group Pmm2 (No. 25); the cell edges are 5.4507, 7.4648 and 5.6931 Å and the angles 90.00°, 90.00° and 90.00°. The asymmetric unit holds Ac at (0.0000, 0.0000, 0.0000), Tl at (0.5000, 0.5000, 0.6309), In at (0.0000, 0.2770, 0.5022), In at (0.0000, 0.5000, 0.0112), In at (0.5000, 0.0000, 0.5695) and In at (0.5000, 0.2781, 0.1247).

For the calculated formation energy, the calculation gives -0.143 eV/atom.



# 2
## Ac2Tl8In (PBE-GGA)

Data for a relaxed Ac2Tl8In crystal.

The structure belongs to space group P4/mmm (No. 123); the cell edges are 5.1859, 5.1859 and 12.9606 Å and the angles 90.00°, 90.00° and 90.00°. The asymmetric unit holds Ac at (0.0000, 0.0000, 0.1860), Tl at (0.0000, 0.5000, 0.0000), Tl at (0.0000, 0.5000, 0.3651), Tl at (0.5000, 0.5000, 0.1797) and In at (0.0000, 0.0000, 0.5000).

For the calculated formation energy, the calculation gives -0.191 eV/atom.



# 3
## Ac4TlIn2 (PBE-GGA)

Data for a relaxed Ac4TlIn2 crystal.

The structure belongs to space group C2/m (No. 12); the cell edges are 18.7174, 4.5979 and 6.3982 Å and the angles 90.00°, 100.05° and 90.00°. The asymmetric unit holds Ac at (0.0986, 0.0000, 0.0346), Ac at (0.1468, 0.5000, 0.5693), Tl at (0.0000, 0.0000, 0.5000) and In at (0.2352, 0.5000, 0.1406).

For the calculated formation energy, the calculation gives -0.243 eV/atom.



# 4
## AcTlIn (PBE-GGA)

Data for a relaxed AcTlIn crystal.

The structure belongs to space group C2/m (No. 12); the cell edges are 12.5194, 4.9440 and 7.9714 Å and the angles 90.00°, 129.38° and 90.00°. The asymmetric unit holds Ac at (0.0582, 0.0000, 0.3123), Tl at (0.1655, 0.5000, 0.7334) and In at (0.1553, 0.5000, 0.1172).

For the calculated formation energy, the calculation gives -0.385 eV/atom.



| no. | size of the total moment (μB per formula unit) |
| --- | --- |
| 1 | 0.00 |
| 2 | 0.00 |
| 3 | 0.03 |
| 4 | 0.00 |